# 1
# Cs2Zn2S3, relaxed, DFT PBE
# DFT total energy = -3.3214 eV per atom
# energy relative to the elements, uncorrected = -0.94 eV/atom
# DOS(E_F) = 0.00 states/eV per atom
# ρ = 4086 kg/m3
# SG = C2/m, No. 12
data_Cs2Zn2S3
_chemical_formula_sum 'Cs2 Zn2 S3'
_cell_length_a 7.026
_cell_length_b 7.026
_cell_length_c 8.668
_cell_angle_alpha 121.28
_cell_angle_beta 121.28
_cell_angle_gamma 33.87
_space_group_name_H-M_alt 'P 1'
_space_group_IT_number 1
_space_group_name_Hall 'P 1'
loop_
_atom_site_label
_atom_site_fract_x
_atom_site_fract_y
_atom_site_fract_z
Cs1 0.068 0.068 0.346
Cs2 0.932 0.932 0.654
Zn1 0.309 0.309 0.938
Zn2 0.691 0.691 0.062
S1 0.300 0.300 0.213
S2 0.500 0.500 0.000
S3 0.700 0.700 0.787



# 2
# CsZnS2, relaxed, DFT PBE
# DFT total energy = -3.2481 eV per atom
# energy relative to the elements, uncorrected = -0.65 eV/atom
# DOS(E_F) = 0.71 states/eV per atom
# ρ = 3768 kg/m3
# SG = P2_1, No. 4
data_CsZnS2
_chemical_formula_sum 'Cs2 Zn2 S4'
_cell_length_a 3.766
_cell_length_b 6.180
_cell_length_c 9.938
_cell_angle_alpha 90.00
_cell_angle_beta 90.48
_cell_angle_gamma 90.00
_space_group_name_H-M_alt 'P 1'
_space_group_IT_number 1
_space_group_name_Hall 'P 1'
loop_
_atom_site_label
_atom_site_fract_x
_atom_site_fract_y
_atom_site_fract_z
Cs1 0.244 0.000 0.188
Cs2 0.756 0.500 0.812
Zn1 0.252 0.005 0.599
Zn2 0.748 0.505 0.401
S1 0.251 0.634 0.514
S2 0.257 0.005 0.827
S3 0.743 0.505 0.173
S4 0.749 0.134 0.486



# 3
# CsZnS2, relaxed, DFT PBE
# DFT total energy = -2.7777 eV per atom
# energy relative to the elements, uncorrected = -0.18 eV/atom
# DOS(E_F) = 0.79 states/eV per atom
# ρ = 3801 kg/m3
# SG = R-3m, No. 166
data_CsZnS2
_chemical_formula_sum 'Cs1 Zn1 S2'
_cell_length_a 8.997
_cell_length_b 8.997
_cell_length_c 8.997
_cell_angle_alpha 25.03
_cell_angle_beta 25.03
_cell_angle_gamma 25.03
_space_group_name_H-M_alt 'P 1'
_space_group_IT_number 1
_space_group_name_Hall 'P 1'
loop_
_atom_site_label
_atom_site_fract_x
_atom_site_fract_y
_atom_site_fract_z
Cs1 0.000 0.000 0.000
Zn1 0.500 0.500 0.500
S1 0.120 0.120 0.120
S2 0.880 0.880 0.880



> Which of these has the lowest ρ?

number 2



Repeat the third record exactly.
# CsZnS2, relaxed, DFT PBE
# DFT total energy = -2.7777 eV per atom
# energy relative to the elements, uncorrected = -0.18 eV/atom
# DOS(E_F) = 0.79 states/eV per atom
# ρ = 3801 kg/m3
# SG = R-3m, No. 166
data_CsZnS2
_chemical_formula_sum 'Cs1 Zn1 S2'
_cell_length_a 8.997
_cell_length_b 8.997
_cell_length_c 8.997
_cell_angle_alpha 25.03
_cell_angle_beta 25.03
_cell_angle_gamma 25.03
_space_group_name_H-M_alt 'P 1'
_space_group_IT_number 1
_space_group_name_Hall 'P 1'
loop_
_atom_site_label
_atom_site_fract_x
_atom_site_fract_y
_atom_site_fract_z
Cs1 0.000 0.000 0.000
Zn1 0.500 0.500 0.500
S1 0.120 0.120 0.120
S2 0.880 0.880 0.880



> The highest DOS(E_F) belongs to which entry?

number 3



> ρ of number 3 (CsZnS2)?

3801 kg/m3